The following is a GGA+U calculation of a relaxed H3WF9 crystal, from Alexandria via LeMat-Bulk.

total moment: 0.01 μB/atom
final energy: -124.1 eV for the cell shown

a b c (Å): 7.991 7.991 9.855
angles (deg): 123.91 123.91 48.42
Fractional coordinates of all 26 atoms:
H 0.019 0.981 0.500
H 0.161 0.760 0.109
H 0.242 0.783 0.350
H 0.760 0.161 0.609
H 0.783 0.242 0.850
H 0.981 0.019 0.000
W 0.490 0.997 0.001
W 0.997 0.490 0.501
F 0.054 0.808 0.000
F 0.161 0.188 0.362
F 0.174 0.928 0.499
F 0.188 0.161 0.862
F 0.196 0.569 0.535
F 0.205 0.382 0.694
F 0.303 0.681 0.248
F 0.382 0.205 0.194
F 0.412 0.798 0.968
F 0.569 0.196 0.035
F 0.597 0.790 0.808
F 0.681 0.303 0.748
F 0.790 0.597 0.308
F 0.792 0.834 0.141
F 0.798 0.412 0.468
F 0.808 0.054 0.500
F 0.834 0.792 0.641
F 0.928 0.174 0.999